No. 1
A relaxed BaSi2Ir crystal. Source: Alexandria via LeMat-Bulk, functional PBE.

extended XYZ file:
```
4
Lattice="3.345 0.000 0.000 0.000 3.345 0.000 0.000 0.000 7.249" Properties=species:S:1:pos:R:3 pbc="T T T"
Ba 0.000 0.000 0.000
Si 1.673 1.673 2.415
Si 1.673 1.673 4.833
Ir 0.000 0.000 3.624
```

Values from the calculation:
Formation energy from raw total energies ... -0.12 eV/atom
Total magnetic moment ... 0.00 Bohr magnetons per cell
VASP energy ... -5.53 eV per atom
Space-group type ... No. 123

***

No. 2
A relaxed BaSiIr2 crystal. Source: Alexandria via LeMat-Bulk, functional PBE.

extended XYZ file:
```
4
Lattice="2.160 1.247 5.776 -2.160 1.247 5.776 0.000 -2.494 5.776" Properties=species:S:1:pos:R:3 pbc="T T T"
Ba 0.000 0.000 0.000
Si 0.000 0.000 13.921
Ir 0.000 0.000 3.318
Ir 0.000 0.000 8.731
```

Values from the calculation:
Formation energy from raw total energies ... -0.34 eV/atom
Total magnetic moment ... 0.00 Bohr magnetons per cell
VASP energy ... -6.61 eV per atom
Space-group type ... No. 160

***

No. 3
A relaxed Ba2SiIr crystal. Source: Alexandria via LeMat-Bulk, functional PBE.

extended XYZ file:
```
4
Lattice="3.492 0.000 0.000 0.000 3.492 0.000 0.000 0.000 9.716" Properties=species:S:1:pos:R:3 pbc="T T T"
Ba 0.000 0.000 0.000
Ba 1.746 1.746 4.156
Si 1.746 1.746 7.348
Ir 0.000 0.000 6.555
```

Values from the calculation:
Formation energy from raw total energies ... -0.07 eV/atom
Total magnetic moment ... 0.00 Bohr magnetons per cell
VASP energy ... -4.60 eV per atom
Space-group type ... No. 99

***

No. 4
A relaxed Ba2SiIr crystal. Source: Alexandria via LeMat-Bulk, functional PBE.

extended XYZ file:
```
4
Lattice="3.581 -4.333 0.000 3.581 4.333 0.000 0.000 0.000 3.726" Properties=species:S:1:pos:R:3 pbc="T T T"
Ba 1.790 2.167 0.000
Ba 1.790 -2.167 0.000
Si 0.000 0.000 1.863
Ir 3.581 0.000 1.863
```

Values from the calculation:
Formation energy from raw total energies ... 0.23 eV/atom
Total magnetic moment ... 0.00 Bohr magnetons per cell
VASP energy ... -4.30 eV per atom
Space-group type ... No. 65

***

- Which of these has the lowest VASP energy?
  BaSiIr2

***

- Which formula does entry 3 have?
  Ba2SiIr